# 1
Compound: NaGa2Pd
Source: the Alexandria database
Functional: PBE-GGA
Structure: optimized geometry

Unit cell a=4.9615 b=4.9615 c=9.0624 alpha=74.11 beta=74.11 gamma=90.00
Last column: nearest neighbours and their distance in Å.
Positions (direct):
Ga 0.8750 0.0470 0.7500  2 Pd 2.46, 2 Ga 2.60
Ga 0.9530 0.6250 0.2500  2 Pd 2.46, 2 Ga 2.60
Ga 0.3750 0.2030 0.7500  2 Pd 2.46, 2 Ga 2.60
Ga 0.7970 0.1250 0.2500  2 Pd 2.46, 2 Ga 2.60
Pd 0.0000 0.0000 0.0000  4 Ga 2.46
Pd 0.7500 0.2500 0.5000  4 Ga 2.46
Na 0.5000 0.5000 0.0000  4 Ga 3.21, 4 Pd 3.51
Na 0.2500 0.7500 0.5000  4 Ga 3.21, 4 Pd 3.51

Summary:
ΔE_f = -0.096 eV/atom
VASP energy = -3.2371 eV/atom
Volume = 25.71 A^3/atom

# 2
Compound: Tb2HoErSb4
Source: the Alexandria database
Functional: PBE-GGA
Structure: optimized geometry

Unit cell a=4.3828 b=7.5861 c=7.5863 alpha=109.47 beta=90.00 gamma=90.00
Last column: nearest neighbours and their distance in Å.
Positions (direct):
Tb 0.5000 0.0000 0.5000  6 Sb 3.11
Tb 0.0000 0.5000 0.5000  6 Sb 3.11
Sb 0.5000 0.7515 0.7531  2 Er 3.08, 1 Ho 3.09, 3 Tb 3.11
Sb 0.0000 0.2504 0.7526  1 Er 3.08, 2 Ho 3.09, 3 Tb 3.11
Sb 0.0000 0.7496 0.2474  1 Er 3.08, 2 Ho 3.09, 3 Tb 3.11
Sb 0.5000 0.2485 0.2469  2 Er 3.08, 1 Ho 3.09, 3 Tb 3.11
Ho 0.5000 0.5000 0.0000  6 Sb 3.09
Er 0.0000 0.0000 0.0000  6 Sb 3.08

Summary:
VASP energy = -5.4872 eV/atom
Volume = 29.73 A^3/atom
E_form (uncorrected) = -1.13 eV/atom